Entry 1:
First-principles (GGA-PBEsol) data for a relaxed EuIBr crystal, as listed in Alexandria.

Values from the calculation:
Theoretical density (kg/m³): 6491
E_tot (eV for the cell shown): -78.71
Calculated volume (Å³ per cell): 367
Formation energy without anion corrections (eV per atom): -1.826

a = 4.662 Å, b = 8.228 Å, c = 9.571 Å
α = 90.00°, β = 90.00°, γ = 90.00°
Atoms (fractional coordinates):
Eu: 0.250 0.773 0.870
Eu: 0.250 0.273 0.630
Br: 0.250 0.144 0.935
I: 0.750 0.473 0.834
Eu: 0.750 0.727 0.370
I: 0.750 0.973 0.666
Br: 0.750 0.856 0.065
Eu: 0.750 0.227 0.130
I: 0.250 0.527 0.166
Br: 0.750 0.356 0.435
I: 0.250 0.027 0.334
Br: 0.250 0.644 0.565


Entry 2:
First-principles (GGA-PBEsol) data for a relaxed Eu3BrO4 crystal, as listed in Alexandria.

Values from the calculation:
Theoretical density (kg/m³): 6898
E_tot (eV for the cell shown): -152.39
Calculated volume (Å³ per cell): 289
Formation energy without anion corrections (eV per atom): -2.705

a = 4.125 Å, b = 6.320 Å, c = 11.719 Å
α = 90.00°, β = 90.00°, γ = 109.05°
Atoms (fractional coordinates):
Eu: 0.822 0.644 0.900
O: 0.766 0.531 0.411
Eu: 0.822 0.644 0.600
O: 0.302 0.603 0.250
O: 0.063 0.126 0.250
Eu: 0.178 0.356 0.400
O: 0.234 0.469 0.589
Br: 0.500 0.000 0.500
Br: 0.500 0.000 0.000
O: 0.698 0.397 0.750
Eu: 0.877 0.754 0.250
O: 0.766 0.531 0.089
O: 0.937 0.874 0.750
Eu: 0.123 0.246 0.750
O: 0.234 0.469 0.911
Eu: 0.178 0.356 0.100


Entry 3:
First-principles (GGA-PBEsol) data for a relaxed Eu4Br6O crystal, as listed in Alexandria.

Values from the calculation:
Theoretical density (kg/m³): 6179
E_tot (eV for the cell shown): -166.24
Calculated volume (Å³ per cell): 593
Formation energy without anion corrections (eV per atom): -2.218

a = 7.367 Å, b = 9.641 Å, c = 9.641 Å
α = 120.00°, β = 90.00°, γ = 90.00°
Atoms (fractional coordinates):
Eu: 0.500 0.201 0.799
Br: 0.295 0.933 0.467
O: 0.900 0.667 0.333
Eu: 0.585 0.667 0.333
Eu: 0.000 0.799 0.599
Eu: 0.085 0.333 0.667
Br: 0.795 0.467 0.533
Br: 0.795 0.467 0.933
O: 0.400 0.333 0.667
Br: 0.114 0.139 0.278
Br: 0.614 0.861 0.722
Br: 0.114 0.722 0.861
Eu: 0.500 0.599 0.799
Br: 0.295 0.533 0.067
Br: 0.614 0.861 0.139
Eu: 0.000 0.401 0.201
Br: 0.795 0.067 0.533
Br: 0.114 0.139 0.861
Br: 0.295 0.533 0.467
Br: 0.614 0.278 0.139
Eu: 0.500 0.201 0.401
Eu: 0.000 0.799 0.201